PBE+U RhWO2F, relaxed; D(E_F) = 2.5212 states/eV/atom; DFT total energy = -5.881 eV per atom; symmetry = P4/mmm (123)
1.0
3.927 0.000 0.000
0.000 3.927 0.000
0.000 0.000 4.208
O Rh F W
2 1 1 1
Direct
0.500 0.000 0.000
0.000 0.500 0.000
0.500 0.500 0.500
0.000 0.000 0.500
0.000 0.000 0.000